Record 1
The following is a DFT calculation (PBE) of a relaxed structure of Zr3TiAl.

a b c (Å): 4.908 4.908 4.908
angles (deg): 90.00 90.00 90.00
Element x y z (fractional)
Zr  0.500  0.000  0.000
Zr  0.000  0.500  0.000
Zr  0.000  0.000  0.500
Ti  0.000  0.000  0.000
Al  0.500  0.500  0.500

Properties
D(E_F), states/eV/atom: 1.6690
Crystal system: cubic
Polymorph energy (0 for the lowest one), meV per atom: 697

---

Record 2
The following is a DFT calculation (PBE) of a relaxed structure of Zr3TiAl.

a b c (Å): 3.124 7.145 9.709
angles (deg): 90.00 90.00 97.43
Element x y z (fractional)
Ti  0.153  0.357  0.750
Ti  0.847  0.643  0.250
Zr  0.282  0.716  0.005
Zr  0.402  0.006  0.750
Zr  0.718  0.284  0.995
Zr  0.282  0.716  0.495
Zr  0.718  0.284  0.505
Zr  0.598  0.994  0.250
Al  0.237  0.335  0.250
Al  0.763  0.665  0.750

Properties
D(E_F), states/eV/atom: 0.9303
Crystal system: monoclinic
Polymorph energy (0 for the lowest one), meV per atom: 0

---

Record 3
The following is a DFT calculation (PBE) of a relaxed structure of ZrTi4Al.

a b c (Å): 5.139 5.124 5.053
angles (deg): 59.54 79.95 69.88
Element x y z (fractional)
Ti  0.500  0.841  0.318
Ti  0.000  0.328  0.344
Ti  0.500  0.159  0.682
Ti  0.000  0.672  0.656
Zr  0.500  0.500  0.000
Al  0.000  0.000  0.000

Properties
D(E_F), states/eV/atom: 1.4014
Crystal system: monoclinic
Polymorph energy (0 for the lowest one), meV per atom: 0

---

Record 4
The following is a DFT calculation (PBE) of a relaxed structure of ZrTi3Al.

a b c (Å): 4.940 4.940 4.940
angles (deg): 66.37 66.37 66.37
Site moments in Bohr magnetons follow the coordinates.
Element x y z (fractional)
Al  0.702  0.702  0.702  -0.01
Ti  0.328  0.819  0.328  0.40
Ti  0.328  0.328  0.819  0.40
Ti  0.819  0.328  0.328  0.40
Zr  0.948  0.948  0.948  0.31

Properties
D(E_F), states/eV/atom: 1.4282
Crystal system: trigonal
Polymorph energy (0 for the lowest one), meV per atom: 0

---

Record 5
The following is a DFT calculation (PBE) of a relaxed structure of Zr4TiAl3.

a b c (Å): 5.118 6.178 9.915
angles (deg): 90.00 90.00 90.00
Element x y z (fractional)
Al  0.000  0.000  0.000
Al  0.000  0.000  0.500
Al  0.640  0.000  0.750
Al  0.646  0.500  0.750
Al  0.354  0.500  0.250
Al  0.360  0.000  0.250
Ti  0.000  0.500  0.000
Ti  0.000  0.500  0.500
Zr  0.500  0.251  0.000
Zr  0.500  0.749  0.500
Zr  0.871  0.250  0.250
Zr  0.871  0.750  0.250
Zr  0.500  0.749  0.000
Zr  0.500  0.251  0.500
Zr  0.129  0.250  0.750
Zr  0.129  0.750  0.750

Properties
D(E_F), states/eV/atom: 0.8861
Crystal system: orthorhombic

---

Record 6
The following is a DFT calculation (PBE) of a relaxed structure of ZrTi7Al4.

a b c (Å): 5.131 8.970 5.105
angles (deg): 89.07 83.75 63.50
Element x y z (fractional)
Ti  0.500  0.000  0.000
Ti  0.788  0.878  0.515
Ti  0.212  0.122  0.485
Ti  0.955  0.339  0.873
Ti  0.801  0.455  0.376
Ti  0.045  0.661  0.127
Ti  0.199  0.545  0.624
Al  0.379  0.784  0.371
Al  0.621  0.216  0.629
Al  0.424  0.331  0.152
Al  0.576  0.669  0.848
Zr  0.000  0.000  0.000

Properties
D(E_F), states/eV/atom: 0.9271
Crystal system: triclinic

---

Record 7
The following is a DFT calculation (PBE) of a relaxed structure of Zr3TiAl.

a b c (Å): 5.020 5.020 5.020
angles (deg): 90.00 90.00 90.00
Site moments in Bohr magnetons follow the coordinates.
Element x y z (fractional)
Zr  0.500  0.000  0.000  0.18
Zr  0.000  0.000  0.500  0.14
Zr  0.000  0.500  0.000  0.14
Ti  0.500  0.500  0.500  1.32
Al  0.000  0.000  0.000  0.03

Properties
D(E_F), states/eV/atom: 1.9644
Crystal system: cubic
Polymorph energy (0 for the lowest one), meV per atom: 750

---

Record 8
The following is a DFT calculation (PBE) of a relaxed structure of ZrTi4Al6.

a b c (Å): 6.862 6.862 6.862
angles (deg): 87.23 121.61 121.61
Element x y z (fractional)
Al  0.500  0.500  0.000
Al  0.500  0.000  0.500
Al  0.000  0.897  0.408
Al  0.000  0.408  0.897
Al  0.489  0.592  0.592
Al  0.511  0.103  0.103
Zr  0.000  0.000  0.000
Ti  0.714  0.458  0.458
Ti  0.286  0.744  0.744
Ti  0.000  0.256  0.542
Ti  0.000  0.542  0.256

Properties
D(E_F), states/eV/atom: 1.0342
Crystal system: tetragonal

---

no.,ΔH_f (0 K) (meV per atom)
1,734
2,38
3,-86
4,199
5,-319
6,-142
7,788
8,191